# Rb2AgO2

A relaxed Rb2AgO2 crystal (PBE, OQMD).

Cell lengths 3.4705, 5.3484, 5.9221 Å; angles 104.88, 90.01, 108.93 degrees
With the nearest neighbours (Å) after each atom.
Sites, in units of the cell vectors:
Ag  0.5000  0.0000  0.0000  4 O 2.21
O  0.1100  0.2199  0.1968  2 Ag 2.21
O  0.8900  0.7801  0.8032  2 Ag 2.21
Rb  0.8323  0.6645  0.3056  4 O 2.77-3.05
Rb  0.1677  0.3355  0.6944  4 O 2.77-3.05

Final energy in eV per atom: -3.638